VASP calculation (PBE) on a relaxed Sb4Cl crystal.

Lattice parameters (Å, degrees): 5.0633 5.0633 13.0482 90.00 90.00 90.00
Sites, in units of the cell vectors:
1 Sb 0.0000 0.0000 0.1276
2 Sb 0.0000 0.0000 0.8724
3 Sb 0.0000 0.5000 0.2500
4 Sb 0.0000 0.5000 0.7500
5 Sb 0.5000 0.0000 0.2500
6 Sb 0.5000 0.0000 0.7500
7 Sb 0.5000 0.5000 0.3724
8 Sb 0.5000 0.5000 0.6276
9 Cl 0.0000 0.0000 0.5000
10 Cl 0.5000 0.5000 0.0000

Summary:
Energy above the most stable polymorph in this dataset in kJ per mole of atoms: 0.00
Formation energy (no corrections) in eV per atom: 0.003
Total energy in eV per cell: -36.6
Magnetization in μB per cell: 0.00

***

VASP calculation (PBE) on a relaxed SbCl3 crystal.

Lattice parameters (Å, degrees): 4.5092 4.5092 17.1278 90.00 90.00 120.00
Sites, in units of the cell vectors:
1 Sb 0.0000 0.0000 0.0000
2 Sb 0.3333 0.6667 0.6667
3 Sb 0.6667 0.3333 0.3333
4 Cl 0.0000 0.0000 0.2730
5 Cl 0.0000 0.0000 0.5000
6 Cl 0.0000 0.0000 0.7270
7 Cl 0.3333 0.6667 0.1667
8 Cl 0.3333 0.6667 0.3936
9 Cl 0.3333 0.6667 0.9397
10 Cl 0.6667 0.3333 0.0603
11 Cl 0.6667 0.3333 0.6064
12 Cl 0.6667 0.3333 0.8333

Summary:
Formation energy (no corrections) in eV per atom: -0.306
Total energy in eV per cell: -32.7
Magnetization in μB per cell: 0.00

***

VASP calculation (PBE) on a relaxed SbCl3 crystal.

Lattice parameters (Å, degrees): 8.3393 8.3393 7.1814 90.00 90.00 120.00
Sites, in units of the cell vectors:
1 Sb 0.0000 0.0000 0.0000
2 Sb 0.0000 0.0000 0.5000
3 Sb 0.3333 0.6667 0.2500
4 Sb 0.6667 0.3333 0.7500
5 Cl 0.0000 0.5000 0.0000
6 Cl 0.0000 0.5000 0.5000
7 Cl 0.1342 0.2684 0.7500
8 Cl 0.1342 0.8658 0.7500
9 Cl 0.2684 0.1342 0.2500
10 Cl 0.5000 0.0000 0.0000
11 Cl 0.5000 0.0000 0.5000
12 Cl 0.5000 0.5000 0.0000
13 Cl 0.5000 0.5000 0.5000
14 Cl 0.7316 0.8658 0.7500
15 Cl 0.8658 0.1342 0.2500
16 Cl 0.8658 0.7316 0.2500

Summary:
Formation energy (no corrections) in eV per atom: -0.392
Total energy in eV per cell: -44.9
Magnetization in μB per cell: 0.00

***

VASP calculation (PBE) on a relaxed SbCl3 crystal.

Lattice parameters (Å, degrees): 7.2660 7.2885 5.3013 90.00 90.00 90.00
Sites, in units of the cell vectors:
1 Sb 0.0000 0.0000 0.0000
2 Sb 0.5000 0.5000 0.0000
3 Cl 0.0000 0.0000 0.5000
4 Cl 0.1840 0.3156 0.0000
5 Cl 0.3160 0.8156 0.0000
6 Cl 0.5000 0.5000 0.5000
7 Cl 0.6840 0.1844 0.0000
8 Cl 0.8160 0.6844 0.0000

Summary:
Formation energy (no corrections) in eV per atom: -0.781
Total energy in eV per cell: -25.6
Magnetization in μB per cell: 0.00

***

VASP calculation (PBE) on a relaxed SbCl3 crystal.

Lattice parameters (Å, degrees): 3.4589 3.4589 32.9690 90.00 90.00 120.00
Sites, in units of the cell vectors:
1 Sb 0.0000 0.0000 0.0000
2 Sb 0.3333 0.6667 0.6667
3 Sb 0.6667 0.3333 0.3333
4 Cl 0.0000 0.0000 0.0732
5 Cl 0.0000 0.0000 0.5000
6 Cl 0.0000 0.0000 0.9268
7 Cl 0.3333 0.6667 0.1667
8 Cl 0.3333 0.6667 0.5935
9 Cl 0.3333 0.6667 0.7398
10 Cl 0.6667 0.3333 0.2602
11 Cl 0.6667 0.3333 0.4065
12 Cl 0.6667 0.3333 0.8333

Summary:
Formation energy (no corrections) in eV per atom: 0.051
Total energy in eV per cell: -28.4
Magnetization in μB per cell: 2.72

***

VASP calculation (PBE) on a relaxed Sb5Cl crystal.

Lattice parameters (Å, degrees): 5.8212 5.8212 5.5400 90.00 90.00 120.00
Sites, in units of the cell vectors:
1 Sb 0.0000 0.6391 0.0000
2 Sb 0.3333 0.6667 0.5000
3 Sb 0.3609 0.3609 0.0000
4 Sb 0.6391 0.0000 0.0000
5 Sb 0.6667 0.3333 0.5000
6 Cl 0.0000 0.0000 0.5000

Summary:
Energy above the most stable polymorph in this dataset in kJ per mole of atoms: 14.07
Formation energy (no corrections) in eV per atom: 0.153
Total energy in eV per cell: -21.5
Magnetization in μB per cell: 0.00

***

VASP calculation (PBE) on a relaxed SbCl3 crystal.

Lattice parameters (Å, degrees): 4.3221 4.3221 6.8028 90.00 90.00 90.00
Sites, in units of the cell vectors:
1 Sb 0.0000 0.0000 0.0000
2 Cl 0.0000 0.5000 0.7825
3 Cl 0.5000 0.0000 0.7825
4 Cl 0.5000 0.5000 0.1883

Summary:
Formation energy (no corrections) in eV per atom: -0.550
Total energy in eV per cell: -11.9
Magnetization in μB per cell: 0.00

***

VASP calculation (PBE) on a relaxed SbCl3 crystal.

Lattice parameters (Å, degrees): 9.7523 9.0337 6.9257 90.00 90.00 90.00
Sites, in units of the cell vectors:
1 Sb 0.0033 0.2500 0.0050
2 Sb 0.4967 0.7500 0.5050
3 Sb 0.5033 0.2500 0.4950
4 Sb 0.9967 0.7500 0.9950
5 Cl 0.0909 0.2500 0.6858
6 Cl 0.1545 0.0596 0.1274
7 Cl 0.1545 0.4404 0.1274
8 Cl 0.3455 0.5596 0.6274
9 Cl 0.3455 0.9404 0.6274
10 Cl 0.4091 0.7500 0.1858
11 Cl 0.5909 0.2500 0.8142
12 Cl 0.6545 0.0596 0.3726
13 Cl 0.6545 0.4404 0.3726
14 Cl 0.8455 0.5596 0.8726
15 Cl 0.8455 0.9404 0.8726
16 Cl 0.9091 0.7500 0.3142

Summary:
Formation energy (no corrections) in eV per atom: -0.870
Total energy in eV per cell: -52.6
Magnetization in μB per cell: 0.00

***

VASP calculation (PBE) on a relaxed Sb3Cl4 crystal.

Lattice parameters (Å, degrees): 3.5803 3.5803 31.3343 90.00 90.00 90.00
Sites, in units of the cell vectors:
1 Sb 0.0000 0.0000 0.0000
2 Sb 0.0000 0.0000 0.2841
3 Sb 0.0000 0.0000 0.7159
4 Sb 0.5000 0.5000 0.2159
5 Sb 0.5000 0.5000 0.5000
6 Sb 0.5000 0.5000 0.7841
7 Cl 0.0000 0.0000 0.1642
8 Cl 0.0000 0.0000 0.4465
9 Cl 0.0000 0.0000 0.5535
10 Cl 0.0000 0.0000 0.8358
11 Cl 0.5000 0.5000 0.0535
12 Cl 0.5000 0.5000 0.3358
13 Cl 0.5000 0.5000 0.6642
14 Cl 0.5000 0.5000 0.9465

Summary:
Energy above the most stable polymorph in this dataset in kJ per mole of atoms: 0.00
Formation energy (no corrections) in eV per atom: -0.158
Total energy in eV per cell: -41.7
Magnetization in μB per cell: 1.14

***

VASP calculation (PBE) on a relaxed SbCl3 crystal.

Lattice parameters (Å, degrees): 4.4979 4.4979 16.8276 90.00 90.00 90.00
Sites, in units of the cell vectors:
1 Sb 0.0000 0.0000 0.1300
2 Sb 0.0000 0.0000 0.8700
3 Sb 0.5000 0.5000 0.3700
4 Sb 0.5000 0.5000 0.6300
5 Cl 0.0000 0.0000 0.3705
6 Cl 0.0000 0.0000 0.6295
7 Cl 0.0000 0.5000 0.0000
8 Cl 0.0000 0.5000 0.2500
9 Cl 0.0000 0.5000 0.5000
10 Cl 0.0000 0.5000 0.7500
11 Cl 0.5000 0.0000 0.0000
12 Cl 0.5000 0.0000 0.2500
13 Cl 0.5000 0.0000 0.5000
14 Cl 0.5000 0.0000 0.7500
15 Cl 0.5000 0.5000 0.1295
16 Cl 0.5000 0.5000 0.8705

Summary:
Formation energy (no corrections) in eV per atom: -0.140
Total energy in eV per cell: -40.9
Magnetization in μB per cell: 0.00

***

VASP calculation (PBE) on a relaxed SbCl3 crystal.

Lattice parameters (Å, degrees): 5.3204 13.8267 3.9414 90.00 90.00 90.00
Sites, in units of the cell vectors:
1 Sb 0.0000 0.0000 0.0000
2 Sb 0.5000 0.5000 0.0000
3 Cl 0.0000 0.1324 0.5000
4 Cl 0.0000 0.5000 0.0000
5 Cl 0.0000 0.8676 0.5000
6 Cl 0.5000 0.0000 0.0000
7 Cl 0.5000 0.3676 0.5000
8 Cl 0.5000 0.6324 0.5000

Summary:
Formation energy (no corrections) in eV per atom: -0.805
Total energy in eV per cell: -25.8
Magnetization in μB per cell: 0.00

***

VASP calculation (PBE) on a relaxed SbCl3 crystal.

Lattice parameters (Å, degrees): 4.5853 4.5853 8.0225 90.00 90.00 90.00
Sites, in units of the cell vectors:
1 Sb 0.0000 0.0000 0.0000
2 Sb 0.5000 0.5000 0.5000
3 Cl 0.0000 0.0000 0.5000
4 Cl 0.0000 0.5000 0.2500
5 Cl 0.0000 0.5000 0.7500
6 Cl 0.5000 0.0000 0.2500
7 Cl 0.5000 0.0000 0.7500
8 Cl 0.5000 0.5000 0.0000

Summary:
Formation energy (no corrections) in eV per atom: -0.227
Total energy in eV per cell: -21.1
Magnetization in μB per cell: 0.00